## Sr2GeI (PBE)

Data for an optimized crystal structure of Sr2GeI.

Calculated values
- theoretical density (g cm⁻³) = 4.699
- E_form (uncorrected) (eV per atom) = -0.685
- crystal system = cubic
- polymorph energy (0 for the lowest one) (meV/atom) = 242.2

Structure (CIF):
```
data_Sr2GeI
_space_group_name_H-M_alt 'F m -3 m'
_space_group_IT_number 225
_space_group_name_Hall '-F 4 2 3'
_cell_length_a 8.0912
_cell_length_b 8.0912
_cell_length_c 8.0912
_cell_angle_alpha 90.00
_cell_angle_beta 90.00
_cell_angle_gamma 90.00
loop_
_atom_site_label
_atom_site_fract_x
_atom_site_fract_y
_atom_site_fract_z
Sr1 0.2500 0.2500 0.2500
Ge1 0.0000 0.0000 0.0000
I1 0.0000 0.0000 0.5000
```